# 1
Crystalline Sr3Mg3Cd8 at its relaxed geometry. Source: Alexandria via LeMat-Bulk, functional PBE-GGA.

Cell: 9.372 9.372 9.372 Å, 149.21 114.18 74.42°
Element x y z (fractional)
Sr1 0.000 0.000 0.000
Sr2 0.293 0.293 0.000
Sr3 0.707 0.707 0.000
Mg1 0.311 0.500 0.811
Mg2 0.500 0.000 0.500
Mg3 0.689 0.500 0.189
Cd1 0.020 0.664 0.357
Cd2 0.155 0.867 0.288
Cd3 0.307 0.664 0.643
Cd4 0.421 0.133 0.288
Cd5 0.579 0.867 0.712
Cd6 0.693 0.336 0.357
Cd7 0.845 0.133 0.712
Cd8 0.980 0.336 0.643

Properties
D(E_F)   0.41 states/eV/atom
DFT formation energy   -0.266 eV/atom



# 2
Crystalline ZrSiHg3 at its relaxed geometry. Source: Alexandria via LeMat-Bulk, functional PBE-GGA.

Cell: 5.506 5.506 5.506 Å, 90.00 90.00 90.00°
Element x y z (fractional)
Zr1 0.000 0.000 0.000
Si1 0.500 0.500 0.500
Hg1 0.000 0.000 0.500
Hg2 0.000 0.500 0.000
Hg3 0.500 0.000 0.000

Properties
D(E_F)   1.90 states/eV/atom
Uncorrected formation energy   1.04 eV/atom
Relative energy among the computed polymorphs   391 meV/atom



# 3
Crystalline GeSb2Te at its relaxed geometry. Source: Alexandria via LeMat-Bulk, functional PBE-GGA.

Cell: 7.457 7.457 7.457 Å, 90.00 90.00 90.00°
Element x y z (fractional)
Ge1 0.000 0.000 0.000
Ge2 0.000 0.500 0.500
Ge3 0.500 0.000 0.500
Ge4 0.500 0.500 0.000
Sb1 0.250 0.250 0.250
Sb2 0.250 0.250 0.750
Sb3 0.250 0.750 0.250
Sb4 0.250 0.750 0.750
Sb5 0.750 0.250 0.250
Sb6 0.750 0.250 0.750
Sb7 0.750 0.750 0.250
Sb8 0.750 0.750 0.750
Te1 0.000 0.000 0.500
Te2 0.000 0.500 0.000
Te3 0.500 0.000 0.000
Te4 0.500 0.500 0.500

Properties
D(E_F)   0.64 states/eV/atom
Uncorrected formation energy   0.31 eV/atom
Relative energy among the computed polymorphs   242 meV/atom



# 4
Crystalline TmFe10Mo2 at its relaxed geometry. Source: Alexandria via LeMat-Bulk, functional PBE-GGA.

Cell: 6.470 6.470 6.470 Å, 137.20 98.07 97.23°
Element x y z (fractional)
Tm1 0.000 0.000 0.000
Fe1 0.000 0.000 0.500
Fe2 0.000 0.500 0.000
Fe3 0.215 0.500 0.715
Fe4 0.225 0.725 0.500
Fe5 0.357 0.000 0.357
Fe6 0.500 0.000 0.000
Fe7 0.500 0.500 0.500
Fe8 0.643 0.000 0.643
Fe9 0.775 0.275 0.500
Fe10 0.785 0.500 0.285
Mo1 0.357 0.357 0.000
Mo2 0.643 0.643 0.000

Properties
D(E_F)   1.01 states/eV/atom
DFT formation energy   -0.019 eV/atom